Below is an optimized crystal structure of ScHPd3, with properties calculated at the GGA-PBE level.

## Properties
DOS(E_F) = 5.436 states/eV per cell
crystal system = monoclinic
DFT total energy = -27.63 eV per formula unit
distance to the lowest polymorph of the same formula = 0.2252 eV per atom
space-group type = C2/c

Unit cell a=12.9430 b=7.6853 c=7.6853 alpha=116.13 beta=140.41 gamma=39.59
Closest atoms and distances in Å follow each position.
Positions (direct):
Pd 0.0151 0.6902 0.3960  2 H 1.85
Pd 0.6257 0.3291 0.2529  1 H 1.86
Pd 0.9849 0.3098 0.6040  2 H 1.85
Pd 0.8563 0.1143 0.1332  3 Sc 2.62-2.84, 5 Pd 2.71-2.83
Pd 0.5151 0.1040 0.8098  2 H 1.85
Sc 0.2500 0.8397 0.3397  6 Pd 2.58-2.81, 2 H 2.88
Sc 0.7500 0.1603 0.6603  6 Pd 2.58-2.81, 2 H 2.88
Pd 0.3743 0.6709 0.7471  1 H 1.86
Pd 0.8743 0.7529 0.8291  1 H 1.86
H 0.8057 0.6961 0.5035  3 Pd 1.85-1.86
Sc 0.7500 0.5933 0.0933  4 H 2.50-2.55, 2 Pd 2.80
Sc 0.2500 0.4067 0.9067  4 H 2.50-2.55, 2 Pd 2.80
Pd 0.3563 0.3668 0.3857  3 Sc 2.62-2.84, 5 Pd 2.71-2.83
H 0.6943 0.0035 0.1961  3 Pd 1.85-1.86
Pd 0.6437 0.6332 0.6143  3 Sc 2.62-2.84, 5 Pd 2.71-2.83
H 0.1943 0.3039 0.4965  3 Pd 1.85-1.86
H 0.3057 0.9965 0.8039  3 Pd 1.85-1.86
Pd 0.1437 0.8857 0.8668  3 Sc 2.62-2.84, 5 Pd 2.71-2.83
Pd 0.1257 0.2471 0.1709  1 H 1.86
Pd 0.4849 0.8960 0.1902  2 H 1.85